1.
Computed, not measured: a geometry-optimized Ca2InPb structure at the PBE level of DFT.

The density of states at the Fermi level comes out at 2.64 states/eV per cell. The value obtained for the spin magnetization is 0.000 μB/f.u. The calculation puts the total DFT energy (no corrections) at -2.97 eV per atom.

The space group is C2/m (No. 12) and the conventional cell measures 10.505, 3.914 and 6.297 Å, with angles of 90.00, 104.34 and 90.00 degrees. Symmetry generates all atoms from Ca at (0.250, 0.000, 0.246), In at (0.000, 0.500, 0.000) and Pb at (0.000, 0.000, 0.500).


2.
Computed, not measured: a geometry-optimized Ca2InPb structure at the PBE level of DFT.

The density of states at the Fermi level comes out at 11.12 states/eV per cell. The value obtained for the spin magnetization is 0.000 μB/f.u. The calculation puts the total DFT energy (no corrections) at -2.78 eV per atom.

The space group is I-42d (No. 122) and the conventional cell measures 8.605, 8.605 and 7.123 Å, with angles of 90.00, 90.00 and 90.00 degrees. Symmetry generates all atoms from Ca at (0.249, 0.250, 0.125), In at (0.000, 0.000, 0.500) and Pb at (0.000, 0.000, 0.000).


3.
Computed, not measured: a geometry-optimized Ca2InPb5 structure at the PBE level of DFT.

The density of states at the Fermi level comes out at 5.48 states/eV per cell. The value obtained for the spin magnetization is 0.000 μB/f.u. The calculation puts the total DFT energy (no corrections) at -3.48 eV per atom.

The space group is Pbam (No. 55) and the conventional cell measures 7.010, 14.092 and 4.811 Å, with angles of 90.00, 90.00 and 90.00 degrees. Symmetry generates all atoms from Ca at (0.244, 0.126, 0.000), In at (0.000, 0.500, 0.500), Pb at (0.000, 0.000, 0.500), Pb at (0.008, 0.750, 0.500) and Pb at (0.241, 0.377, 0.000).


4.
Computed, not measured: a geometry-optimized Ca4InPb structure at the PBE level of DFT.

The density of states at the Fermi level comes out at 6.59 states/eV per cell. The value obtained for the spin magnetization is 0.000 μB/f.u. The calculation puts the total DFT energy (no corrections) at -2.77 eV per atom.

The space group is P4/mmm (No. 123) and the conventional cell measures 5.342, 5.342 and 7.830 Å, with angles of 90.00, 90.00 and 90.00 degrees. Symmetry generates all atoms from Ca at (0.000, 0.500, 0.245), In at (0.000, 0.000, 0.500) and Pb at (0.500, 0.500, 0.000).


5.
Computed, not measured: a geometry-optimized Ca2InPb structure at the PBE level of DFT.

The density of states at the Fermi level comes out at 7.88 states/eV per cell. The value obtained for the spin magnetization is 0.000 μB/f.u. The calculation puts the total DFT energy (no corrections) at -2.96 eV per atom.

The space group is R-3m (No. 166, hexagonal axes) and the conventional cell measures 3.7848, 3.7848 and 30.6250 Å, with angles of 90.00, 90.00 and 120.00 degrees. Symmetry generates all atoms from Ca at (0.0000, 0.0000, 0.2476), In at (0.0000, 0.0000, 0.5000) and Pb at (0.0000, 0.0000, 0.0000).


6.
Computed, not measured: a geometry-optimized Ca2InPb structure at the PBE level of DFT.

The density of states at the Fermi level comes out at 1.62 states/eV per cell. The value obtained for the spin magnetization is 0.000 μB/f.u. The calculation puts the total DFT energy (no corrections) at -3.11 eV per atom.

The space group is P4/mmm (No. 123) and the conventional cell measures 5.610, 5.610 and 3.766 Å, with angles of 90.00, 90.00 and 90.00 degrees. Symmetry generates all atoms from Ca at (0.000, 0.500, 0.000), In at (0.000, 0.000, 0.500) and Pb at (0.500, 0.500, 0.500).


7.
Computed, not measured: a geometry-optimized Ca2InPd6Pb structure at the PBE level of DFT.

The density of states at the Fermi level comes out at 19.58 states/eV per cell. The value obtained for the spin magnetization is 0.000 μB/f.u. The calculation puts the total DFT energy (no corrections) at -4.15 eV per atom.

The space group is Fm-3m (No. 225) and the conventional cell measures 10.080, 10.080 and 10.080 Å, with angles of 90.00, 90.00 and 90.00 degrees. Symmetry generates all atoms from Ca at (0.250, 0.250, 0.250), In at (0.000, 0.000, 0.000), Pd at (0.000, 0.000, 0.247) and Pb at (0.000, 0.000, 0.500).


8.
Computed, not measured: a geometry-optimized Ca2InPd5Pb2 structure at the PBE level of DFT.

The density of states at the Fermi level comes out at 7.50 states/eV per cell. The value obtained for the spin magnetization is 0.000 μB/f.u. The calculation puts the total DFT energy (no corrections) at -4.48 eV per atom.

The space group is P4/mbm (No. 127) and the conventional cell measures 10.838, 10.838 and 3.666 Å, with angles of 90.00, 90.00 and 90.00 degrees. Symmetry generates all atoms from Ca at (0.166, 0.334, 0.000), In at (0.000, 0.000, 0.000), Pd at (0.000, 0.500, 0.500), Pd at (0.040, 0.810, 0.500) and Pb at (0.136, 0.636, 0.000).


9.
Computed, not measured: a geometry-optimized CaPmInPb structure at the PBE level of DFT.

The density of states at the Fermi level comes out at 9.29 states/eV per cell. The value obtained for the spin magnetization is 0.000 μB/f.u. The calculation puts the total DFT energy (no corrections) at -3.75 eV per atom.

The space group is F-43m (No. 216) and the conventional cell measures 7.789, 7.789 and 7.789 Å, with angles of 90.00, 90.00 and 90.00 degrees. Symmetry generates all atoms from Ca at (0.000, 0.000, 0.000), Pm at (0.000, 0.000, 0.500), In at (0.250, 0.250, 0.750) and Pb at (0.250, 0.250, 0.250).


10.
Computed, not measured: a geometry-optimized CaPmInPb structure at the PBE level of DFT.

The density of states at the Fermi level comes out at 2.37 states/eV per cell. The value obtained for the spin magnetization is 0.000 μB/f.u. The calculation puts the total DFT energy (no corrections) at -3.79 eV per atom.

The space group is Pmmm (No. 47) and the conventional cell measures 4.509, 5.081 and 5.093 Å, with angles of 90.00, 90.00 and 90.00 degrees. Symmetry generates all atoms from Ca at (0.000, 0.000, 0.000), Pm at (0.000, 0.500, 0.500), In at (0.500, 0.500, 0.000) and Pb at (0.500, 0.000, 0.500).


11.
Computed, not measured: a geometry-optimized CaPrInPb structure at the PBE level of DFT.

The density of states at the Fermi level comes out at 10.61 states/eV per cell. The value obtained for the spin magnetization is 0.000 μB/f.u. The calculation puts the total DFT energy (no corrections) at -3.77 eV per atom.

The space group is F-43m (No. 216) and the conventional cell measures 7.847, 7.847 and 7.847 Å, with angles of 90.00, 90.00 and 90.00 degrees. Symmetry generates all atoms from Ca at (0.000, 0.000, 0.000), Pr at (0.000, 0.000, 0.500), In at (0.250, 0.250, 0.750) and Pb at (0.250, 0.250, 0.250).


12.
Computed, not measured: a geometry-optimized CaPrInPb structure at the PBE level of DFT.

The density of states at the Fermi level comes out at 2.31 states/eV per cell. The value obtained for the spin magnetization is 0.000 μB/f.u. The calculation puts the total DFT energy (no corrections) at -3.81 eV per atom.

The space group is Pmmm (No. 47) and the conventional cell measures 4.548, 5.114 and 5.131 Å, with angles of 90.00, 90.00 and 90.00 degrees. Symmetry generates all atoms from Ca at (0.000, 0.000, 0.000), Pr at (0.000, 0.500, 0.500), In at (0.500, 0.500, 0.000) and Pb at (0.500, 0.000, 0.500).


13.
Computed, not measured: a geometry-optimized Ca2InPtPb structure at the PBE level of DFT.

The density of states at the Fermi level comes out at 2.32 states/eV per cell. The value obtained for the spin magnetization is 0.000 μB/f.u. The calculation puts the total DFT energy (no corrections) at -3.81 eV per atom.

The space group is P4/mmm (No. 123) and the conventional cell measures 5.481, 5.481 and 5.175 Å, with angles of 90.00, 90.00 and 90.00 degrees. Symmetry generates all atoms from Ca at (0.000, 0.500, 0.000), In at (0.000, 0.000, 0.500), Pt at (0.000, 0.000, 0.000) and Pb at (0.500, 0.500, 0.500).